(1)
Computed, not measured: a relaxed Ca2GaCuPd6 crystal at the PBE level of DFT.

Lattice parameters (Å, degrees): 6.651 6.651 6.651 60.00 60.00 60.00
Atoms (fractional coordinates):
Ca 0.250 0.250 0.250
Ca 0.750 0.750 0.750
Ga 0.000 0.000 0.000
Cu 0.500 0.500 0.500
Pd 0.249 0.249 0.751
Pd 0.249 0.751 0.249
Pd 0.249 0.751 0.751
Pd 0.751 0.249 0.249
Pd 0.751 0.249 0.751
Pd 0.751 0.751 0.249

Values from the calculation:
Magnetic moment = 0.00 μB per cell
Formation enthalpy at 0 K = -0.2248 eV/atom
E = -4.45 eV/atom

---

(2)
Computed, not measured: a relaxed CaGa5Cu2Pd crystal at the PBE level of DFT.

Lattice parameters (Å, degrees): 4.356 4.356 9.612 90.00 90.00 90.00
Atoms (fractional coordinates):
Ca 0.000 0.000 0.000
Ga 0.000 0.500 0.347
Ga 0.000 0.500 0.653
Ga 0.500 0.000 0.347
Ga 0.500 0.000 0.653
Ga 0.500 0.500 0.000
Cu 0.500 0.500 0.235
Cu 0.500 0.500 0.765
Pd 0.000 0.000 0.500

Values from the calculation:
Magnetic moment = 0.00 μB per cell
Formation enthalpy at 0 K = -0.1497 eV/atom
E = -3.54 eV/atom

---

(3)
Computed, not measured: a relaxed Ca2Ga5CuPd2 crystal at the PBE level of DFT.

Lattice parameters (Å, degrees): 9.845 9.845 3.883 90.00 90.00 90.00
Atoms (fractional coordinates):
Ca 0.183 0.317 0.000
Ca 0.317 0.817 0.000
Ca 0.683 0.183 0.000
Ca 0.817 0.683 0.000
Ga 0.000 0.500 0.500
Ga 0.052 0.810 0.500
Ga 0.190 0.052 0.500
Ga 0.310 0.552 0.500
Ga 0.448 0.310 0.500
Ga 0.500 0.000 0.500
Ga 0.552 0.690 0.500
Ga 0.690 0.448 0.500
Ga 0.810 0.948 0.500
Ga 0.948 0.190 0.500
Cu 0.000 0.000 0.000
Cu 0.500 0.500 0.000
Pd 0.115 0.615 0.000
Pd 0.385 0.115 0.000
Pd 0.615 0.885 0.000
Pd 0.885 0.385 0.000

Values from the calculation:
Magnetic moment = 0.00 μB per cell
Formation enthalpy at 0 K = -0.4556 eV/atom
E = -3.82 eV/atom

---

(4)
Computed, not measured: a relaxed CaGa3CuPd crystal at the PBE level of DFT.

Lattice parameters (Å, degrees): 6.978 6.978 5.835 90.00 90.00 127.18
Atoms (fractional coordinates):
Ca 0.221 0.779 0.750
Ca 0.779 0.221 0.250
Ga 0.206 0.206 0.000
Ga 0.206 0.206 0.500
Ga 0.349 0.651 0.250
Ga 0.651 0.349 0.750
Ga 0.794 0.794 0.000
Ga 0.794 0.794 0.500
Cu 0.446 0.554 0.750
Cu 0.554 0.446 0.250
Pd 0.146 0.854 0.250
Pd 0.854 0.146 0.750

Values from the calculation:
Magnetic moment = 0.00 μB per cell
Formation enthalpy at 0 K = -0.3361 eV/atom
E = -3.73 eV/atom

---

(5)
Computed, not measured: a relaxed CaGa4CuPd2 crystal at the PBE level of DFT.

Lattice parameters (Å, degrees): 9.282 9.282 9.282 26.72 26.72 26.72
Atoms (fractional coordinates):
Ca 0.000 0.000 0.000
Ga 0.133 0.133 0.133
Ga 0.402 0.402 0.402
Ga 0.598 0.598 0.598
Ga 0.867 0.867 0.867
Cu 0.500 0.500 0.500
Pd 0.235 0.235 0.235
Pd 0.765 0.765 0.765

Values from the calculation:
Magnetic moment = 0.00 μB per cell
Formation enthalpy at 0 K = -0.4588 eV/atom
E = -4.03 eV/atom

---

(6)
Computed, not measured: a relaxed Ca2GaCuPd crystal at the PBE level of DFT.

Lattice parameters (Å, degrees): 5.478 5.478 4.747 90.00 90.00 90.00
Atoms (fractional coordinates):
Ca 0.000 0.500 0.000
Ca 0.500 0.000 0.000
Ga 0.000 0.000 0.500
Cu 0.500 0.500 0.500
Pd 0.000 0.000 0.000

Values from the calculation:
Magnetic moment = 0.00 μB per cell
Formation enthalpy at 0 K = -0.1243 eV/atom
E = -3.39 eV/atom

---

(7)
Computed, not measured: a relaxed Ca2GaCu2Pd5 crystal at the PBE level of DFT.

Lattice parameters (Å, degrees): 9.535 9.535 3.791 90.00 90.00 90.00
Atoms (fractional coordinates):
Ca 0.174 0.326 0.000
Ca 0.326 0.826 0.000
Ca 0.674 0.174 0.000
Ca 0.826 0.674 0.000
Ga 0.000 0.000 0.000
Ga 0.500 0.500 0.000
Cu 0.125 0.625 0.000
Cu 0.375 0.125 0.000
Cu 0.625 0.875 0.000
Cu 0.875 0.375 0.000
Pd 0.000 0.500 0.500
Pd 0.065 0.800 0.500
Pd 0.200 0.065 0.500
Pd 0.300 0.565 0.500
Pd 0.435 0.300 0.500
Pd 0.500 0.000 0.500
Pd 0.565 0.700 0.500
Pd 0.700 0.435 0.500
Pd 0.800 0.935 0.500
Pd 0.935 0.200 0.500

Values from the calculation:
Magnetic moment = 0.00 μB per cell
Formation enthalpy at 0 K = -0.5335 eV/atom
E = -4.65 eV/atom

---

(8)
Computed, not measured: a relaxed CaPmGaCu crystal at the PBE level of DFT.

Lattice parameters (Å, degrees): 5.111 5.111 5.111 60.00 60.00 60.00
Atoms (fractional coordinates):
Ca 0.000 0.000 0.000
Pm 0.500 0.500 0.500
Ga 0.750 0.750 0.750
Cu 0.250 0.250 0.250

Values from the calculation:
Magnetic moment = 0.00 μB per cell
Formation enthalpy at 0 K = -0.3276 eV/atom
E = -3.80 eV/atom

---

(9)
Computed, not measured: a relaxed CaPmGa2Cu2 crystal at the PBE level of DFT.

Lattice parameters (Å, degrees): 4.395 4.395 7.503 90.00 90.00 120.00
Atoms (fractional coordinates):
Ca 0.000 0.000 0.000
Pm 0.000 0.000 0.500
Ga 0.333 0.667 0.738
Ga 0.667 0.333 0.262
Cu 0.333 0.667 0.260
Cu 0.667 0.333 0.740

Values from the calculation:
Magnetic moment = 0.00 μB per cell
Formation enthalpy at 0 K = -0.4017 eV/atom
E = -3.90 eV/atom

---

(10)
Computed, not measured: a relaxed CaPrGaCu crystal at the PBE level of DFT.

Lattice parameters (Å, degrees): 5.156 5.156 5.156 60.00 60.00 60.00
Atoms (fractional coordinates):
Ca 0.000 0.000 0.000
Pr 0.500 0.500 0.500
Ga 0.250 0.250 0.250
Cu 0.750 0.750 0.750

Values from the calculation:
Magnetic moment = 0.00 μB per cell
Formation enthalpy at 0 K = -0.3199 eV/atom
E = -3.80 eV/atom

---

(11)
Computed, not measured: a relaxed Ca2Ga3CuPt4 crystal at the PBE level of DFT.

Lattice parameters (Å, degrees): 4.143 4.143 10.940 90.00 90.00 90.00
Atoms (fractional coordinates):
Ca 0.000 0.500 0.242
Ca 0.500 0.000 0.758
Ga 0.000 0.000 0.000
Ga 0.000 0.500 0.635
Ga 0.500 0.000 0.365
Cu 0.500 0.500 0.000
Pt 0.000 0.000 0.500
Pt 0.000 0.500 0.861
Pt 0.500 0.000 0.139
Pt 0.500 0.500 0.500

Values from the calculation:
Magnetic moment = 0.00 μB per cell
Formation enthalpy at 0 K = -0.8012 eV/atom
E = -4.94 eV/atom

---

(12)
Computed, not measured: a relaxed CaGa4CuPt2 crystal at the PBE level of DFT.

Lattice parameters (Å, degrees): 9.236 9.236 9.236 26.83 26.83 26.83
Atoms (fractional coordinates):
Ca 0.000 0.000 0.000
Ga 0.133 0.133 0.133
Ga 0.401 0.401 0.401
Ga 0.599 0.599 0.599
Ga 0.867 0.867 0.867
Cu 0.500 0.500 0.500
Pt 0.237 0.237 0.237
Pt 0.763 0.763 0.763

Values from the calculation:
Magnetic moment = 0.00 μB per cell
Formation enthalpy at 0 K = -0.5251 eV/atom
E = -4.31 eV/atom

---

(13)
Computed, not measured: a relaxed CaGa2CuPt4 crystal at the PBE level of DFT.

Lattice parameters (Å, degrees): 8.862 8.862 8.862 28.27 28.27 28.27
Atoms (fractional coordinates):
Ca 0.000 0.000 0.000
Ga 0.241 0.241 0.241
Ga 0.759 0.759 0.759
Cu 0.500 0.500 0.500
Pt 0.130 0.130 0.130
Pt 0.403 0.403 0.403
Pt 0.597 0.597 0.597
Pt 0.870 0.870 0.870

Values from the calculation:
Magnetic moment = 0.00 μB per cell
Formation enthalpy at 0 K = -0.5853 eV/atom
E = -5.12 eV/atom

---

(14)
Computed, not measured: a relaxed CaGa4Cu2Pt crystal at the PBE level of DFT.

Lattice parameters (Å, degrees): 9.540 9.540 9.540 25.44 25.44 25.44
Atoms (fractional coordinates):
Ca 0.000 0.000 0.000
Ga 0.127 0.127 0.127
Ga 0.402 0.402 0.402
Ga 0.598 0.598 0.598
Ga 0.873 0.873 0.873
Cu 0.240 0.240 0.240
Cu 0.760 0.760 0.760
Pt 0.500 0.500 0.500

Values from the calculation:
Magnetic moment = 0.00 μB per cell
Formation enthalpy at 0 K = -0.3537 eV/atom
E = -3.90 eV/atom

---

(15)
Computed, not measured: a relaxed CaGa3CuPt crystal at the PBE level of DFT.

Lattice parameters (Å, degrees): 6.894 6.894 5.970 90.00 90.00 124.57
Atoms (fractional coordinates):
Ca 0.229 0.771 0.750
Ca 0.771 0.229 0.250
Ga 0.206 0.206 0.000
Ga 0.206 0.206 0.500
Ga 0.336 0.664 0.250
Ga 0.664 0.336 0.750
Ga 0.794 0.794 0.000
Ga 0.794 0.794 0.500
Cu 0.469 0.531 0.750
Cu 0.531 0.469 0.250
Pt 0.136 0.864 0.250
Pt 0.864 0.136 0.750

Values from the calculation:
Magnetic moment = 0.00 μB per cell
Formation enthalpy at 0 K = -0.3767 eV/atom
E = -3.91 eV/atom

---

(16)
Computed, not measured: a relaxed Ca2Ga2CuPt5 crystal at the PBE level of DFT.

Lattice parameters (Å, degrees): 9.719 9.719 3.684 90.00 90.00 90.00
Atoms (fractional coordinates):
Ca 0.174 0.326 0.000
Ca 0.326 0.826 0.000
Ca 0.674 0.174 0.000
Ca 0.826 0.674 0.000
Ga 0.127 0.627 0.000
Ga 0.373 0.127 0.000
Ga 0.627 0.873 0.000
Ga 0.873 0.373 0.000
Cu 0.000 0.000 0.000
Cu 0.500 0.500 0.000
Pt 0.000 0.500 0.500
Pt 0.064 0.801 0.500
Pt 0.199 0.064 0.500
Pt 0.301 0.564 0.500
Pt 0.436 0.301 0.500
Pt 0.500 0.000 0.500
Pt 0.564 0.699 0.500
Pt 0.699 0.436 0.500
Pt 0.801 0.936 0.500
Pt 0.936 0.199 0.500

Values from the calculation:
Magnetic moment = 0.00 μB per cell
Formation enthalpy at 0 K = -0.7015 eV/atom
E = -5.14 eV/atom

---

(17)
Computed, not measured: a relaxed Ca2GaCu2Pt5 crystal at the PBE level of DFT.

Lattice parameters (Å, degrees): 9.391 9.391 3.865 90.00 90.00 90.00
Atoms (fractional coordinates):
Ca 0.175 0.325 0.000
Ca 0.325 0.825 0.000
Ca 0.675 0.175 0.000
Ca 0.825 0.675 0.000
Ga 0.000 0.000 0.000
Ga 0.500 0.500 0.000
Cu 0.124 0.624 0.000
Cu 0.376 0.124 0.000
Cu 0.624 0.876 0.000
Cu 0.876 0.376 0.000
Pt 0.000 0.500 0.500
Pt 0.065 0.797 0.500
Pt 0.203 0.065 0.500
Pt 0.297 0.565 0.500
Pt 0.435 0.297 0.500
Pt 0.500 0.000 0.500
Pt 0.565 0.703 0.500
Pt 0.703 0.435 0.500
Pt 0.797 0.935 0.500
Pt 0.935 0.203 0.500

Values from the calculation:
Magnetic moment = 0.00 μB per cell
Formation enthalpy at 0 K = -0.6400 eV/atom
E = -5.18 eV/atom

---

(18)
Computed, not measured: a relaxed CaGa2Cu4Pt crystal at the PBE level of DFT.

Lattice parameters (Å, degrees): 9.069 9.069 9.069 26.65 26.65 26.65
Atoms (fractional coordinates):
Ca 0.000 0.000 0.000
Ga 0.237 0.237 0.237
Ga 0.763 0.763 0.763
Cu 0.124 0.124 0.124
Cu 0.404 0.404 0.404
Cu 0.596 0.596 0.596
Cu 0.876 0.876 0.876
Pt 0.500 0.500 0.500

Values from the calculation:
Magnetic moment = 0.00 μB per cell
Formation enthalpy at 0 K = -0.1732 eV/atom
E = -3.98 eV/atom

---

(19)
Computed, not measured: a relaxed Ca2Ga4Cu3Pt crystal at the PBE level of DFT.

Lattice parameters (Å, degrees): 4.141 4.141 10.633 90.00 90.00 90.00
Atoms (fractional coordinates):
Ca 0.000 0.500 0.245
Ca 0.500 0.000 0.755
Ga 0.000 0.000 0.000
Ga 0.000 0.500 0.636
Ga 0.500 0.000 0.364
Ga 0.500 0.500 0.000
Cu 0.000 0.500 0.865
Cu 0.500 0.000 0.135
Cu 0.500 0.500 0.500
Pt 0.000 0.000 0.500

Values from the calculation:
Magnetic moment = 0.00 μB per cell
Formation enthalpy at 0 K = -0.4522 eV/atom
E = -3.90 eV/atom

---

(20)
Computed, not measured: a relaxed Ca2Ga3Cu12Pt crystal at the PBE level of DFT.

Lattice parameters (Å, degrees): 9.975 9.975 9.975 35.82 35.82 35.82
Atoms (fractional coordinates):
Ca 0.150 0.150 0.150
Ca 0.850 0.850 0.850
Ga 0.000 0.500 0.500
Ga 0.500 0.000 0.500
Ga 0.500 0.500 0.000
Cu 0.081 0.081 0.689
Cu 0.081 0.689 0.081
Cu 0.148 0.566 0.566
Cu 0.311 0.919 0.919
Cu 0.434 0.434 0.852
Cu 0.434 0.852 0.434
Cu 0.566 0.148 0.566
Cu 0.566 0.566 0.148
Cu 0.689 0.081 0.081
Cu 0.852 0.434 0.434
Cu 0.919 0.311 0.919
Cu 0.919 0.919 0.311
Pt 0.500 0.500 0.500

Values from the calculation:
Magnetic moment = 0.00 μB per cell
Formation enthalpy at 0 K = 0.0469 eV/atom
E = -3.75 eV/atom

---

(21)
Computed, not measured: a relaxed CaPuGaCu crystal at the PBE level of DFT.

Lattice parameters (Å, degrees): 5.048 5.048 5.048 60.00 60.00 60.00
Atoms (fractional coordinates):
Ca 0.000 0.000 0.000
Pu 0.500 0.500 0.500
Ga 0.750 0.750 0.750
Cu 0.250 0.250 0.250

Values from the calculation:
Magnetic moment = 5.60 μB per cell
Formation enthalpy at 0 K = -0.1003 eV/atom
E = -5.96 eV/atom

---

(22)
Computed, not measured: a relaxed CaGa4CuRh2 crystal at the PBE level of DFT.

Lattice parameters (Å, degrees): 9.237 9.237 9.237 26.59 26.59 26.59
Atoms (fractional coordinates):
Ca 0.000 0.000 0.000
Ga 0.131 0.131 0.131
Ga 0.403 0.403 0.403
Ga 0.597 0.597 0.597
Ga 0.869 0.869 0.869
Cu 0.500 0.500 0.500
Rh 0.230 0.230 0.230
Rh 0.770 0.770 0.770

Values from the calculation:
Magnetic moment = 0.00 μB per cell
Formation enthalpy at 0 K = -0.4588 eV/atom
E = -4.57 eV/atom